Material: AlCd2Ag12
Method: DFT, PBE-GGA
State: optimized geometry

Formation energy = 0.14 eV per atom
Space-group type = P4/nbm (125)
Spin magnetization = 0.000 μB per cell
DFT total energy = -2.5113 eV/atom
Density of states at the Fermi level = 6.13 states/eV/f.u.

abc: 5.563 5.563 19.526
angles: 90.00 90.00 90.00
Sites, in units of the cell vectors:
Al 0.250 0.750 0.000
Al 0.750 0.250 0.000
Cd 0.250 0.750 0.271
Cd 0.250 0.750 0.729
Cd 0.750 0.250 0.271
Cd 0.750 0.250 0.729
Ag 0.000 0.000 0.093
Ag 0.000 0.000 0.907
Ag 0.000 0.500 0.093
Ag 0.000 0.500 0.907
Ag 0.075 0.575 0.436
Ag 0.075 0.925 0.564
Ag 0.250 0.250 0.199
Ag 0.250 0.250 0.336
Ag 0.250 0.250 0.664
Ag 0.250 0.250 0.801
Ag 0.425 0.575 0.564
Ag 0.425 0.925 0.436
Ag 0.500 0.000 0.093
Ag 0.500 0.000 0.907
Ag 0.500 0.500 0.093
Ag 0.500 0.500 0.907
Ag 0.575 0.075 0.564
Ag 0.575 0.425 0.436
Ag 0.750 0.750 0.199
Ag 0.750 0.750 0.336
Ag 0.750 0.750 0.664
Ag 0.750 0.750 0.801
Ag 0.925 0.075 0.436
Ag 0.925 0.425 0.564

=====

Material: AlCdAg2
Method: DFT, PBE-GGA
State: optimized geometry

Formation energy = 0.19 eV per atom
Space-group type = I-42d (122)
Spin magnetization = 0.000 μB per cell
DFT total energy = -2.3962 eV/atom
Density of states at the Fermi level = 1.52 states/eV/f.u.

abc: 6.083 6.083 6.083
angles: 102.19 102.19 125.29
Sites, in units of the cell vectors:
Al 0.000 0.000 0.000
Al 0.750 0.250 0.500
Cd 0.250 0.750 0.500
Cd 0.500 0.500 0.000
Ag 0.094 0.625 0.969
Ag 0.375 0.344 0.469
Ag 0.656 0.125 0.031
Ag 0.875 0.906 0.531

=====

Material: AlCdAg2
Method: DFT, PBE-GGA
State: optimized geometry

Formation energy = 0.00 eV per atom
Space-group type = Cmmm (65)
Spin magnetization = 0.000 μB per cell
DFT total energy = -2.5863 eV/atom
Density of states at the Fermi level = 1.34 states/eV/f.u.

abc: 5.055 5.055 2.984
angles: 90.00 90.00 107.44
Sites, in units of the cell vectors:
Al 0.000 0.000 0.000
Cd 0.500 0.500 0.000
Ag 0.000 0.500 0.500
Ag 0.500 0.000 0.500

=====

Material: AlCdAg
Method: DFT, PBE-GGA
State: optimized geometry

Formation energy = 0.14 eV per atom
Space-group type = F-43m (216)
Distance to the lowest polymorph of the same formula = 0.1359 eV/atom
Spin magnetization = 0.000 μB per cell
DFT total energy = -2.3615 eV/atom
Density of states at the Fermi level = 2.56 states/eV/f.u.

abc: 4.484 4.484 4.484
angles: 60.00 60.00 60.00
Sites, in units of the cell vectors:
Al 0.000 0.000 0.000
Cd 0.750 0.750 0.750
Ag 0.250 0.250 0.250

=====

Material: AlCd4Ag5
Method: DFT, PBE-GGA
State: optimized geometry

Formation energy = -0.04 eV per atom
Space-group type = P4/mmm (123)
Spin magnetization = 0.000 μB per cell
DFT total energy = -2.2047 eV/atom
Density of states at the Fermi level = 2.58 states/eV/f.u.

abc: 3.317 3.317 17.095
angles: 90.00 90.00 90.00
Sites, in units of the cell vectors:
Al 0.000 0.000 0.000
Cd 0.000 0.000 0.194
Cd 0.000 0.000 0.398
Cd 0.000 0.000 0.602
Cd 0.000 0.000 0.806
Ag 0.500 0.500 0.088
Ag 0.500 0.500 0.296
Ag 0.500 0.500 0.500
Ag 0.500 0.500 0.704
Ag 0.500 0.500 0.912

=====

Material: AlCdAg2
Method: DFT, PBE-GGA
State: optimized geometry

Formation energy = 0.00 eV per atom
Space-group type = P4/mmm (123)
Spin magnetization = 0.000 μB per cell
DFT total energy = -2.5877 eV/atom
Density of states at the Fermi level = 1.23 states/eV/f.u.

abc: 4.525 4.525 3.535
angles: 90.00 90.00 90.00
Sites, in units of the cell vectors:
Al 0.000 0.000 0.000
Cd 0.500 0.500 0.000
Ag 0.000 0.500 0.500
Ag 0.500 0.000 0.500